(1)
NpAs2Pb | GGA-PBE | relaxed Values from VASP.

```
&SYSTEM
  ibrav = 0, nat = 4, ntyp = 3
/
ATOMIC_SPECIES
As 74.92 As.upf
Np 237.00 Np.upf
Pb 207.20 Pb.upf
CELL_PARAMETERS angstrom
3.8307 0.0000 0.0000
0.0000 4.8606 0.0000
0.0000 0.0000 4.8606
ATOMIC_POSITIONS crystal
As 0.0000 0.0000 0.5000
As 0.0000 0.5000 0.0000
Np 0.5000 0.0000 0.0000
Pb 0.5000 0.5000 0.5000
```

Values from the calculation:
Energy relative to the elements in meV/atom: -225

(2)
TbNd3Tm | GGA-PBE | relaxed Values from VASP.

```
&SYSTEM
  ibrav = 0, nat = 10, ntyp = 3
/
ATOMIC_SPECIES
Tb 158.93 Tb.upf
Tm 168.93 Tm.upf
Nd 144.24 Nd.upf
CELL_PARAMETERS angstrom
-2.1279 -1.3088 -2.6254
4.5969 -5.3723 6.4624
-11.2674 5.0686 4.0908
ATOMIC_POSITIONS crystal
Tb 0.9958 0.5468 0.6495
Tb 0.0042 0.4532 0.3505
Tm 0.0024 0.2511 0.7481
Tm 0.9976 0.7489 0.2519
Nd 0.9955 0.6464 0.9484
Nd 0.9984 0.0498 0.1518
Nd 0.0016 0.9502 0.8482
Nd 0.9991 0.1489 0.4493
Nd 0.0009 0.8511 0.5507
Nd 0.0045 0.3536 0.0516
```

Values from the calculation:
Energy relative to the elements in meV/atom: 15

(3)
Sm6Dy5Th2 | GGA-PBE | relaxed Values from VASP.

```
&SYSTEM
  ibrav = 0, nat = 26, ntyp = 3
/
ATOMIC_SPECIES
Sm 150.36 Sm.upf
Dy 162.50 Dy.upf
Th 232.04 Th.upf
CELL_PARAMETERS angstrom
-1.1914 3.2747 -0.9056
2.5362 -2.1461 -11.0968
-19.1093 -7.7457 -2.8694
ATOMIC_POSITIONS crystal
Sm 0.0000 0.9326 0.6455
Sm 0.0000 0.5674 0.1455
Sm 0.5000 0.3171 0.1240
Sm 0.0000 0.0804 0.0632
Sm 0.5000 0.6829 0.8760
Sm 0.0000 0.4326 0.8545
Sm 0.5000 0.1829 0.6240
Sm 0.0000 0.9196 0.9368
Sm 0.0000 0.0674 0.3545
Sm 0.0000 0.5804 0.4368
Sm 0.5000 0.8171 0.3760
Sm 0.0000 0.4196 0.5632
Dy 0.5000 0.5000 0.0000
Dy 0.5000 0.0688 0.2080
Dy 0.5000 0.8129 0.0795
Dy 0.5000 0.0000 0.5000
Dy 0.5000 0.6871 0.5795
Dy 0.5000 0.3129 0.4205
Dy 0.5000 0.5688 0.2920
Dy 0.5000 0.9312 0.7920
Dy 0.5000 0.4312 0.7080
Dy 0.5000 0.1871 0.9205
Th 0.0000 0.8124 0.2325
Th 0.0000 0.3124 0.2675
Th 0.0000 0.6876 0.7325
Th 0.0000 0.1876 0.7675
```

Values from the calculation:
Energy relative to the elements in meV/atom: 117